DFT (GGA-PBE) results for a geometry-optimized CaHf2Co structure.

**Calculated volume**: 179.3 Å³/cell
**Formation energy**: 291 meV/atom
**Symmetry**: I-42d, No. 122
**Spin magnetization**: 0.000 μB per atom
**E above lowest polymorph**: 0 meV per atom

a = 7.770 Å, b = 7.770 Å, c = 6.245 Å
α = 51.53°, β = 51.53°, γ = 90.00°
Fractional coordinates of all 8 atoms:
1 Ca 0.250 0.750 0.500
2 Ca 0.500 0.500 0.000
3 Co 0.000 0.000 0.000
4 Co 0.750 0.250 0.500
5 Hf 0.875 0.952 0.750
6 Hf 0.702 0.125 0.250
7 Hf 0.375 0.298 0.750
8 Hf 0.048 0.625 0.250